1.
The following is a GGA-PBEsol calculation of ZnPt3 after structural relaxation, from Alexandria.

Results
- magnetization (μB/f.u.) = 0.000
- Fermi-level density of states (states/eV per atom) = 0.712
- calculated density (g/cm3) = 18.3
- formation enthalpy at 0 K (eV per atom) = -0.2194

Cell: 2.744 4.647 4.641 Å, 90.00 90.13 90.00°
Element x y z (fractional)
Zn 0.000 0.000 0.000
Pt 0.249 0.500 0.249
Pt 0.500 0.000 0.500
Pt 0.751 0.500 0.751


2.
The following is a GGA-PBEsol calculation of ZnPt3 after structural relaxation, from Alexandria.

Results
- magnetization (μB/f.u.) = 0.000
- Fermi-level density of states (states/eV per atom) = 1.099
- calculated density (g/cm3) = 18.5
- formation enthalpy at 0 K (eV per atom) = -0.2614

Cell: 5.291 5.291 5.291 Å, 150.03 61.84 127.28°
Element x y z (fractional)
Zn 0.000 0.000 0.000
Pt 0.097 0.352 0.744
Pt 0.496 0.996 0.500
Pt 0.608 0.352 0.256


3.
The following is a GGA-PBEsol calculation of Zn11Pt2 after structural relaxation, from Alexandria.

Results
- magnetization (μB/f.u.) = 0.000
- Fermi-level density of states (states/eV per atom) = 0.171
- calculated density (g/cm3) = 10.2
- formation enthalpy at 0 K (eV per atom) = -0.2797

Cell: 7.782 7.782 7.782 Å, 109.47 109.47 109.47°
Element x y z (fractional)
Zn 0.000 0.000 0.780
Zn 0.000 0.277 0.650
Zn 0.000 0.358 0.358
Zn 0.000 0.642 0.642
Zn 0.000 0.650 0.277
Zn 0.000 0.780 0.000
Zn 0.220 0.220 0.220
Zn 0.277 0.000 0.650
Zn 0.277 0.650 0.000
Zn 0.350 0.350 0.628
Zn 0.350 0.628 0.350
Zn 0.358 0.000 0.358
Zn 0.358 0.358 0.000
Zn 0.372 0.723 0.723
Zn 0.628 0.350 0.350
Zn 0.642 0.000 0.642
Zn 0.642 0.642 0.000
Zn 0.650 0.000 0.277
Zn 0.650 0.277 0.000
Zn 0.723 0.372 0.723
Zn 0.723 0.723 0.372
Zn 0.780 0.000 0.000
Pt 0.000 0.000 0.347
Pt 0.000 0.347 0.000
Pt 0.347 0.000 0.000
Pt 0.653 0.653 0.653


4.
The following is a GGA-PBEsol calculation of ZrZnPt2 after structural relaxation, from Alexandria.

Results
- magnetization (μB/f.u.) = 0.000
- Fermi-level density of states (states/eV per atom) = 0.526
- calculated density (g/cm3) = 14.2
- formation enthalpy at 0 K (eV per atom) = -0.7980

Cell: 2.862 3.519 6.333 Å, 90.00 90.00 90.00°
Element x y z (fractional)
Zr 0.000 0.000 0.000
Zn 0.000 0.000 0.500
Pt 0.500 0.500 0.272
Pt 0.500 0.500 0.728


5.
The following is a GGA-PBEsol calculation of ZrZnPt2 after structural relaxation, from Alexandria.

Results
- magnetization (μB/f.u.) = 0.000
- Fermi-level density of states (states/eV per atom) = 0.490
- calculated density (g/cm3) = 14.0
- formation enthalpy at 0 K (eV per atom) = -0.8194

Cell: 4.508 4.508 4.508 Å, 60.00 60.00 60.00°
Element x y z (fractional)
Zr 0.000 0.000 0.000
Zn 0.500 0.500 0.500
Pt 0.250 0.250 0.250
Pt 0.750 0.750 0.750


6.
The following is a GGA-PBEsol calculation of ZrZnPt2 after structural relaxation, from Alexandria.

Results
- magnetization (μB/f.u.) = 0.000
- Fermi-level density of states (states/eV per atom) = 0.647
- calculated density (g/cm3) = 14.3
- formation enthalpy at 0 K (eV per atom) = -0.8030

Cell: 4.986 4.986 4.986 Å, 133.73 133.73 67.51°
Element x y z (fractional)
Zr 0.000 0.000 0.000
Zn 0.750 0.250 0.500
Pt 0.250 0.750 0.500
Pt 0.500 0.500 0.000


Which of these has the lowest formation enthalpy at 0 K? number 5


Repeat the second record exactly.
The following is a GGA-PBEsol calculation of ZnPt3 after structural relaxation, from Alexandria.

Results
- magnetization (μB/f.u.) = 0.000
- Fermi-level density of states (states/eV per atom) = 1.099
- calculated density (g/cm3) = 18.5
- formation enthalpy at 0 K (eV per atom) = -0.2614

Cell: 5.291 5.291 5.291 Å, 150.03 61.84 127.28°
Element x y z (fractional)
Zn 0.000 0.000 0.000
Pt 0.097 0.352 0.744
Pt 0.496 0.996 0.500
Pt 0.608 0.352 0.256